TmAl12Fe5 | PBE | optimized geometry

Properties
**Total magnetization**: 13.85 μB per cell
**Density of states at the Fermi level**: 23.805 states/eV per cell
**Energy of formation**: -203 meV per atom

Cell: 7.385 8.154 9.181 Å, 90.00 90.00 90.00°
Space group Immm (No. 71)
Asymmetric unit:
Tm 0.000 0.000 0.000 [2 per cell]
Al 0.000 0.302 0.172 [8 per cell]
Al 0.177 0.270 0.500 [8 per cell]
Al 0.193 0.000 0.265 [8 per cell]
Fe 0.000 0.000 0.500 [2 per cell]
Fe 0.000 0.500 0.372 [4 per cell]
Fe 0.167 0.500 0.000 [4 per cell]